1.
The following is a GGA-PBEsol calculation of a geometry-optimized V2Ge2O7 structure, from Alexandria.

Properties
Fermi-level density of states ... 0.284 states/eV per atom
ΔE_f (raw) ... -1942 kJ/mol of formula units

Geometry as POSCAR:
```
V2Ge2O7
1.0
3.615 -4.103 0.000
3.615 4.103 0.000
-3.375 0.000 9.346
V Ge O
4 4 14
Direct
0.124 0.774 0.520
0.226 0.876 0.980
0.774 0.124 0.020
0.876 0.226 0.480
0.301 0.303 0.293
0.303 0.301 0.793
0.697 0.699 0.207
0.699 0.697 0.707
0.075 0.115 0.633
0.099 0.411 0.404
0.115 0.075 0.133
0.166 0.535 0.882
0.411 0.099 0.904
0.417 0.583 0.250
0.465 0.834 0.618
0.535 0.166 0.382
0.583 0.417 0.750
0.589 0.901 0.096
0.834 0.465 0.118
0.885 0.925 0.867
0.901 0.589 0.596
0.925 0.885 0.367
```


2.
The following is a GGA-PBEsol calculation of a geometry-optimized Sc2ReW structure, from Alexandria.

Properties
Fermi-level density of states ... 0.501 states/eV per atom
Polymorph energy (0 for the lowest one) ... 0.0 meV/atom
Formation enthalpy at 0 K ... -0.045 eV per atom

Geometry as POSCAR:
```
Sc2ReW
1.0
3.137 0.000 0.000
0.000 3.137 0.000
0.000 0.000 7.563
Sc Re W
2 1 1
Direct
0.000 0.000 0.000
0.500 0.500 0.342
0.500 0.500 0.774
0.000 0.000 0.583
```


3.
The following is a GGA-PBEsol calculation of a geometry-optimized SiPt2Rh structure, from Alexandria.

Properties
Fermi-level density of states ... 0.790 states/eV per atom
ΔE_f (raw) ... -191 kJ/mol of formula units

Geometry as POSCAR:
```
SiPt2Rh
1.0
3.648 0.000 0.000
0.000 2.812 0.000
0.000 0.000 11.054
Si Pt Rh
2 4 2
Direct
0.000 0.000 0.000
0.000 0.500 0.500
0.000 0.000 0.221
0.000 0.500 0.721
0.500 0.000 0.856
0.500 0.500 0.356
0.500 0.000 0.578
0.500 0.500 0.078
```


4.
The following is a GGA-PBEsol calculation of a geometry-optimized NdInAg2 structure, from Alexandria.

Properties
Fermi-level density of states ... 0.362 states/eV per atom
Formation enthalpy at 0 K ... -0.391 eV per atom

Geometry as POSCAR:
```
NdInAg2
1.0
6.995 0.000 0.000
0.000 6.995 0.000
0.000 0.000 6.995
Nd In Ag
4 4 8
Direct
0.000 0.000 0.000
0.000 0.500 0.500
0.500 0.000 0.500
0.500 0.500 0.000
0.000 0.000 0.500
0.000 0.500 0.000
0.500 0.000 0.000
0.500 0.500 0.500
0.250 0.250 0.250
0.250 0.250 0.750
0.250 0.750 0.250
0.250 0.750 0.750
0.750 0.250 0.250
0.750 0.250 0.750
0.750 0.750 0.250
0.750 0.750 0.750
```


5.
The following is a GGA-PBEsol calculation of a geometry-optimized SrB2H structure, from Alexandria.

Properties
Total DFT energy (no corrections) ... -4.5279 eV/atom
Fermi-level density of states ... 0.325 states/eV per atom

Geometry as POSCAR:
```
SrB2H
1.0
3.245 0.000 0.000
0.000 3.245 0.000
0.000 0.000 19.957
Sr B H
4 8 4
Direct
0.000 0.250 0.375
0.000 0.750 0.625
0.500 0.250 0.125
0.500 0.750 0.875
0.000 0.000 0.000
0.000 0.500 0.000
0.250 0.250 0.750
0.250 0.750 0.250
0.500 0.000 0.500
0.500 0.500 0.500
0.750 0.250 0.750
0.750 0.750 0.250
0.000 0.250 0.875
0.000 0.750 0.125
0.500 0.250 0.625
0.500 0.750 0.375
```


6.
The following is a GGA-PBEsol calculation of a geometry-optimized Fe2Se2Br structure, from Alexandria.

Properties
Fermi-level density of states ... 1.340 states/eV per atom
ΔE_f (raw) ... 129 kJ/mol of formula units

Geometry as POSCAR:
```
Fe2Se2Br
1.0
4.179 0.000 0.000
0.000 4.179 0.000
0.000 0.000 10.527
Fe Se Br
4 4 2
Direct
0.000 0.000 0.129
0.000 0.000 0.871
0.500 0.500 0.371
0.500 0.500 0.629
0.000 0.500 0.250
0.000 0.500 0.750
0.500 0.000 0.250
0.500 0.000 0.750
0.000 0.000 0.500
0.500 0.500 0.000
```


7.
The following is a GGA-PBEsol calculation of a geometry-optimized VSi4Mo structure, from Alexandria.

Properties
Fermi-level density of states ... 0.408 states/eV per atom
ΔE_f (raw) ... -339 kJ/mol of formula units

Geometry as POSCAR:
```
VSi4Mo
1.0
4.565 0.000 0.000
0.000 12.792 0.000
-2.281 0.000 3.961
V Si Mo
3 12 3
Direct
0.000 0.000 0.000
0.000 0.497 0.000
0.500 0.332 0.500
0.172 0.834 0.838
0.177 0.334 0.842
0.334 0.166 0.163
0.335 0.662 0.162
0.340 0.495 0.675
0.341 0.000 0.678
0.659 0.000 0.322
0.660 0.495 0.325
0.665 0.662 0.838
0.666 0.166 0.837
0.823 0.334 0.158
0.828 0.834 0.162
0.000 0.167 0.500
0.000 0.664 0.500
0.500 0.832 0.500
```


8.
The following is a GGA-PBEsol calculation of a geometry-optimized TlSe2S structure, from Alexandria.

Properties
Fermi-level density of states ... 0.435 states/eV per atom
ΔE_f (raw) ... 92 kJ/mol of formula units

Geometry as POSCAR:
```
TlSe2S
1.0
3.499 0.000 0.000
-1.750 3.030 0.000
0.000 0.000 27.713
Tl Se S
3 6 3
Direct
0.000 0.000 0.000
0.333 0.667 0.667
0.667 0.333 0.333
0.000 0.000 0.111
0.000 0.000 0.889
0.333 0.667 0.556
0.333 0.667 0.777
0.667 0.333 0.223
0.667 0.333 0.444
0.000 0.000 0.500
0.333 0.667 0.167
0.667 0.333 0.833
```


9.
The following is a GGA-PBEsol calculation of a geometry-optimized AgAs2AuSe structure, from Alexandria.

Properties
Fermi-level density of states ... 0.922 states/eV per atom
ΔE_f (raw) ... 434 kJ/mol of formula units

Geometry as POSCAR:
```
AgAs2AuSe
1.0
4.922 0.000 0.000
0.000 4.922 0.000
0.000 0.000 5.122
Ag As Au Se
1 2 1 1
Direct
0.000 0.000 0.000
0.000 0.500 0.500
0.500 0.000 0.500
0.500 0.500 0.500
0.500 0.500 0.000
```


10.
The following is a GGA-PBEsol calculation of a geometry-optimized Ta2MoPb structure, from Alexandria.

Properties
Fermi-level density of states ... 0.428 states/eV per atom
Formation enthalpy at 0 K ... 0.352 eV per atom

Geometry as POSCAR:
```
Ta2MoPb
1.0
2.934 0.000 0.000
0.000 4.651 0.000
-0.997 0.000 5.433
Ta Mo Pb
2 1 1
Direct
0.000 0.000 0.000
0.283 0.500 0.755
0.740 0.500 0.203
0.606 0.000 0.487
```


11.
The following is a GGA-PBEsol calculation of a geometry-optimized LaZn2W structure, from Alexandria.

Properties
Fermi-level density of states ... 0.641 states/eV per atom
Polymorph energy (0 for the lowest one) ... 0.0 meV/atom
Formation enthalpy at 0 K ... 0.232 eV per atom

Geometry as POSCAR:
```
LaZn2W
1.0
2.902 0.000 0.000
0.000 2.902 0.000
0.000 0.000 8.473
La Zn W
1 2 1
Direct
0.000 0.000 0.000
0.500 0.500 0.287
0.500 0.500 0.713
0.000 0.000 0.500
```


12.
The following is a GGA-PBEsol calculation of a geometry-optimized Cs2NaNdCl6 structure, from Alexandria.

Properties
Fermi-level density of states ... 0.000 states/eV per atom
ΔE_f (raw) ... -2030 kJ/mol of formula units

Geometry as POSCAR:
```
Cs2NaNdCl6
1.0
0.000 5.412 5.412
5.412 0.000 5.412
5.412 5.412 0.000
Cs Na Nd Cl
2 1 1 6
Direct
0.250 0.250 0.250
0.750 0.750 0.750
0.000 0.000 0.000
0.500 0.500 0.500
0.251 0.251 0.749
0.251 0.749 0.251
0.251 0.749 0.749
0.749 0.251 0.251
0.749 0.251 0.749
0.749 0.749 0.251
```


13.
The following is a GGA-PBEsol calculation of a geometry-optimized SrTc2Ir structure, from Alexandria.

Properties
Fermi-level density of states ... 1.818 states/eV per atom
Polymorph energy (0 for the lowest one) ... 418.4 meV/atom
Formation enthalpy at 0 K ... 0.943 eV per atom

Geometry as POSCAR:
```
SrTc2Ir
1.0
6.415 0.000 0.000
0.000 6.415 0.000
0.000 0.000 6.415
Sr Tc Ir
4 8 4
Direct
0.000 0.000 0.000
0.000 0.500 0.500
0.500 0.000 0.500
0.500 0.500 0.000
0.250 0.250 0.250
0.250 0.250 0.750
0.250 0.750 0.250
0.250 0.750 0.750
0.750 0.250 0.250
0.750 0.250 0.750
0.750 0.750 0.250
0.750 0.750 0.750
0.000 0.000 0.500
0.000 0.500 0.000
0.500 0.000 0.000
0.500 0.500 0.500
```


14.
The following is a GGA-PBEsol calculation of a geometry-optimized CdCoRh2 structure, from Alexandria.

Properties
Fermi-level density of states ... 1.222 states/eV per atom
Polymorph energy (0 for the lowest one) ... 29.1 meV/atom
Formation enthalpy at 0 K ... 0.230 eV per atom

Geometry as POSCAR:
```
CdCoRh2
1.0
2.839 0.000 0.000
0.000 4.472 0.000
0.000 0.000 8.945
Cd Co Rh
2 2 4
Direct
0.000 0.000 0.000
0.500 0.500 0.500
0.000 0.500 0.753
0.500 0.000 0.253
0.000 0.000 0.477
0.000 0.500 0.230
0.500 0.000 0.730
0.500 0.500 0.977
```


15.
The following is a GGA-PBEsol calculation of a geometry-optimized AlSeBr structure, from Alexandria.

Properties
Fermi-level density of states ... 0.000 states/eV per atom
ΔE_f (raw) ... -268 kJ/mol of formula units

Geometry as POSCAR:
```
AlSeBr
1.0
3.643 0.000 0.000
-1.821 3.155 0.000
0.000 0.000 6.415
Al Se Br
1 1 1
Direct
0.000 0.000 0.000
0.667 0.333 0.194
0.333 0.667 0.735
```


16.
The following is a GGA-PBEsol calculation of a geometry-optimized Tl2InSF structure, from Alexandria.

Properties
Fermi-level density of states ... 0.741 states/eV per atom
ΔE_f (raw) ... -184 kJ/mol of formula units

Geometry as POSCAR:
```
Tl2InSF
1.0
5.558 0.000 0.000
0.000 5.558 0.000
0.000 0.000 4.254
Tl In S F
2 1 1 1
Direct
0.000 0.500 0.000
0.500 0.000 0.000
0.000 0.000 0.000
0.500 0.500 0.500
0.000 0.000 0.500
```


17.
The following is a GGA-PBEsol calculation of a geometry-optimized ZrCo2 structure, from Alexandria.

Properties
Fermi-level density of states ... 1.236 states/eV per atom
Formation enthalpy at 0 K ... 0.183 eV per atom

Geometry as POSCAR:
```
ZrCo2
1.0
2.710 0.000 0.000
0.000 17.595 0.000
0.000 0.000 3.694
Zr Co
4 8
Direct
0.000 0.180 0.250
0.000 0.820 0.750
0.500 0.320 0.750
0.500 0.680 0.250
0.000 0.074 0.750
0.000 0.458 0.750
0.000 0.542 0.250
0.000 0.926 0.250
0.500 0.042 0.250
0.500 0.426 0.250
0.500 0.574 0.750
0.500 0.958 0.750
```


18.
The following is a GGA-PBEsol calculation of a geometry-optimized Tl2CrAu structure, from Alexandria.

Properties
Fermi-level density of states ... 0.578 states/eV per atom
Polymorph energy (0 for the lowest one) ... 0.0 meV/atom
Formation enthalpy at 0 K ... 0.403 eV per atom

Geometry as POSCAR:
```
Tl2CrAu
1.0
3.313 0.000 0.000
-1.657 2.869 0.000
0.000 0.000 27.268
Tl Cr Au
6 3 3
Direct
0.000 0.000 0.000
0.000 0.000 0.232
0.333 0.667 0.667
0.333 0.667 0.899
0.667 0.333 0.333
0.667 0.333 0.566
0.000 0.000 0.486
0.333 0.667 0.153
0.667 0.333 0.819
0.000 0.000 0.752
0.333 0.667 0.418
0.667 0.333 0.085
```


19.
The following is a GGA-PBEsol calculation of a geometry-optimized Nd4Si7 structure, from Alexandria.

Properties
Fermi-level density of states ... 0.372 states/eV per atom
ΔE_f (raw) ... -726 kJ/mol of formula units

Geometry as POSCAR:
```
Nd4Si7
1.0
4.048 0.000 0.000
0.000 4.164 0.000
0.000 0.000 13.728
Nd Si
4 7
Direct
0.000 0.000 0.000
0.000 0.500 0.250
0.500 0.000 0.751
0.500 0.500 0.499
0.000 0.000 0.412
0.000 0.000 0.584
0.000 0.500 0.666
0.000 0.500 0.836
0.500 0.000 0.317
0.500 0.500 0.091
0.500 0.500 0.924
```


20.
The following is a GGA-PBEsol calculation of a geometry-optimized Be2CoPt structure, from Alexandria.

Properties
Fermi-level density of states ... 0.534 states/eV per atom
Polymorph energy (0 for the lowest one) ... 58.8 meV/atom
Formation enthalpy at 0 K ... -0.550 eV per atom

Geometry as POSCAR:
```
Be2CoPt
1.0
3.799 0.000 0.000
0.000 3.799 0.000
0.000 0.000 2.730
Be Co Pt
2 1 1
Direct
0.000 0.500 0.000
0.500 0.000 0.000
0.000 0.000 0.500
0.500 0.500 0.500
```


21.
The following is a GGA-PBEsol calculation of a geometry-optimized CrSiAg4 structure, from Alexandria.

Properties
Fermi-level density of states ... 0.392 states/eV per atom
ΔE_f (raw) ... 300 kJ/mol of formula units

Geometry as POSCAR:
```
CrSiAg4
1.0
0.000 3.748 3.748
3.748 0.000 3.748
3.748 3.748 0.000
Cr Si Ag
1 1 4
Direct
0.000 0.000 0.000
0.250 0.250 0.250
0.125 0.625 0.625
0.625 0.125 0.625
0.625 0.625 0.125
0.625 0.625 0.625
```


22.
The following is a GGA-PBEsol calculation of a geometry-optimized MgOs structure, from Alexandria.

Properties
Fermi-level density of states ... 0.611 states/eV per atom
Formation enthalpy at 0 K ... 0.385 eV per atom

Geometry as POSCAR:
```
MgOs
1.0
2.724 0.000 0.000
0.000 10.862 0.000
0.000 0.000 4.150
Mg Os
4 4
Direct
0.000 0.067 0.250
0.000 0.933 0.750
0.500 0.433 0.750
0.500 0.567 0.250
0.000 0.303 0.250
0.000 0.697 0.750
0.500 0.197 0.750
0.500 0.803 0.250
```


23.
The following is a GGA-PBEsol calculation of a geometry-optimized YReAg2 structure, from Alexandria.

Properties
Fermi-level density of states ... 0.851 states/eV per atom
Formation enthalpy at 0 K ... 0.366 eV per atom

Geometry as POSCAR:
```
YReAg2
1.0
2.825 0.000 0.000
0.000 4.249 0.000
0.000 0.000 6.013
Y Re Ag
1 1 2
Direct
0.000 0.000 0.000
0.500 0.500 0.746
0.000 0.000 0.510
0.500 0.500 0.283
```